(1)
Here is a relaxed structure of ScBi3Au from Alexandria via LeMat-Bulk. Energies are from GGA-PBEsol.

Unit cell a=5.4347 b=5.4347 c=5.4347 alpha=90.00 beta=90.00 gamma=90.00
Atoms (fractional coordinates):
1 Au 0.0000 0.0000 0.0000
2 Bi 0.5000 0.0000 0.0000
3 Bi 0.0000 0.0000 0.5000
4 Bi 0.0000 0.5000 0.0000
5 Sc 0.5000 0.5000 0.5000

Values from the calculation:
calculated total energy	-0.3129	Ry/atom
formation enthalpy at 0 K	203	kJ/mol of formula units

---

(2)
Here is a relaxed structure of SbPb3 from Alexandria via LeMat-Bulk. Energies are from GGA-PBEsol.

Unit cell a=5.7264 b=6.4504 c=6.4504 alpha=83.90 beta=90.00 gamma=90.00
Atoms (fractional coordinates):
1 Sb 0.7500 0.4473 0.5527
2 Sb 0.2500 0.5527 0.4473
3 Pb 0.2500 0.6381 0.9573
4 Pb 0.2500 0.0427 0.3619
5 Pb 0.7500 0.9573 0.6381
6 Pb 0.7500 0.3619 0.0427
7 Pb 0.7500 0.8513 0.1487
8 Pb 0.2500 0.1487 0.8513

Values from the calculation:
calculated total energy	-0.3010	Ry/atom
formation energy without anion corrections	0.043	eV/atom

---

(3)
Here is a relaxed structure of Y2CuHg from Alexandria via LeMat-Bulk. Energies are from GGA-PBEsol.

Unit cell a=3.6213 b=4.7189 c=5.3872 alpha=90.00 beta=98.11 gamma=90.00
Atoms (fractional coordinates):
1 Hg 0.4161 0.5000 0.7952
2 Y 0.7963 0.5000 0.3455
3 Y 0.9584 0.0000 0.9001
4 Cu 0.3292 0.0000 0.4592

Values from the calculation:
calculated total energy	-0.3682	Ry/atom
formation enthalpy at 0 K	-144	kJ/mol of formula units

---

(4)
Here is a relaxed structure of ScCu3 from Alexandria via LeMat-Bulk. Energies are from GGA-PBEsol.

Unit cell a=4.2574 b=4.2574 c=4.2574 alpha=60.00 beta=60.00 gamma=60.00
Atoms (fractional coordinates):
1 Cu 0.5000 0.5000 0.5000
2 Cu 0.7500 0.7500 0.7500
3 Cu 0.2500 0.2500 0.2500
4 Sc 0.0000 0.0000 0.0000

Values from the calculation:
calculated total energy	-0.3709	Ry/atom
formation enthalpy at 0 K	-56	kJ/mol of formula units

---

(5)
Here is a relaxed structure of Cr2RePb from Alexandria via LeMat-Bulk. Energies are from GGA-PBEsol.

Unit cell a=4.1049 b=4.6053 c=4.1049 alpha=63.53 beta=90.00 gamma=116.47
Site moments in Bohr magnetons follow the coordinates.
Atoms (fractional coordinates):
1 Cr 0.2500 0.5000 0.2500  1.79
2 Cr 0.7500 0.5000 0.7500  1.79
3 Pb 0.5000 0.0000 0.5000  -0.04
4 Re 0.0000 0.0000 0.0000  -0.57

Values from the calculation:
calculated total energy	-0.6399	Ry/atom
formation enthalpy at 0 K	289	kJ/mol of formula units

---

(6)
Here is a relaxed structure of CsSmNb6Br18 from Alexandria via LeMat-Bulk. Energies are from GGA-PBEsol.

Unit cell a=9.6998 b=9.6998 c=18.0858 alpha=90.00 beta=90.00 gamma=120.00
Atoms (fractional coordinates):
1 Br 0.0754 0.6300 0.3398
2 Br 0.4216 0.1462 0.0003
3 Br 0.0423 0.8098 0.6619
4 Br 0.1902 0.2325 0.6619
5 Br 0.8098 0.0423 0.1619
6 Br 0.2755 0.4216 0.9997
7 Br 0.3700 0.4454 0.3398
8 Br 0.5784 0.8538 0.9997
9 Br 0.7245 0.1462 0.4997
10 Br 0.7675 0.8098 0.8381
11 Br 0.8538 0.5784 0.4997
12 Br 0.6300 0.5546 0.6602
13 Br 0.9577 0.7675 0.1619
14 Br 0.2325 0.0423 0.3381
15 Br 0.8538 0.2755 0.0003
16 Br 0.9577 0.1902 0.3381
17 Br 0.7675 0.9577 0.6619
18 Br 0.2325 0.1902 0.1619
19 Br 0.6300 0.0754 0.8398
20 Br 0.7245 0.5784 0.0003
21 Br 0.3700 0.9246 0.1602
22 Br 0.5546 0.9246 0.3398
23 Br 0.5546 0.6300 0.1602
24 Br 0.0423 0.2325 0.8381
25 Br 0.1902 0.9577 0.8381
26 Br 0.1462 0.4216 0.5003
27 Br 0.8098 0.7675 0.3381
28 Br 0.4454 0.0754 0.6602
29 Br 0.5784 0.7245 0.5003
30 Br 0.2755 0.8538 0.5003
31 Br 0.9246 0.3700 0.6602
32 Br 0.4216 0.2755 0.4997
33 Br 0.9246 0.5546 0.8398
34 Br 0.0754 0.4454 0.1602
35 Br 0.1462 0.7245 0.9997
36 Br 0.4454 0.3700 0.8398
37 Nb 0.9645 0.8105 0.9339
38 Nb 0.0355 0.1895 0.0661
39 Nb 0.8460 0.8105 0.5661
40 Nb 0.8105 0.9645 0.4339
41 Nb 0.8460 0.0355 0.9339
42 Nb 0.0355 0.8460 0.4339
43 Nb 0.1895 0.0355 0.5661
44 Nb 0.1540 0.9645 0.0661
45 Nb 0.1540 0.1895 0.4339
46 Nb 0.1895 0.1540 0.9339
47 Nb 0.8105 0.8460 0.0661
48 Nb 0.9645 0.1540 0.5661
49 Cs 0.6667 0.3333 0.2500
50 Cs 0.3333 0.6667 0.7500
51 Sm 0.3333 0.6667 0.2500
52 Sm 0.6667 0.3333 0.7500

Values from the calculation:
calculated total energy	-0.3799	Ry/atom
formation energy without anion corrections	-1.145	eV/atom

---

(7)
Here is a relaxed structure of SrBe2Mo from Alexandria via LeMat-Bulk. Energies are from GGA-PBEsol.

Unit cell a=3.8611 b=3.8611 c=5.0936 alpha=112.27 beta=112.27 gamma=90.00
Atoms (fractional coordinates):
1 Sr 0.2500 0.7500 0.5000
2 Mo 0.5000 0.5000 0.0000
3 Be 0.0000 0.0000 0.0000
4 Be 0.7500 0.2500 0.5000

Values from the calculation:
calculated total energy	-0.3185	Ry/atom
polymorph energy (0 for the lowest one)	407.9	meV per atom
formation enthalpy at 0 K	412	kJ/mol of formula units

---

(8)
Here is a relaxed structure of NaLaFePd2 from Alexandria via LeMat-Bulk. Energies are from GGA-PBEsol.

Unit cell a=4.6210 b=4.8435 c=4.8435 alpha=90.00 beta=90.00 gamma=90.00
Site moments in Bohr magnetons follow the coordinates.
Atoms (fractional coordinates):
1 Pd 0.0000 0.5000 0.0000  0.20
2 Pd 0.0000 0.0000 0.5000  0.20
3 La 0.5000 0.0000 0.0000  -0.07
4 Na 0.5000 0.5000 0.5000  0.00
5 Fe 0.0000 0.0000 0.0000  1.30

Values from the calculation:
calculated total energy	-0.3853	Ry/atom
formation enthalpy at 0 K	136	kJ/mol of formula units

---

What did the third record say?
Here is a relaxed structure of Y2CuHg from Alexandria via LeMat-Bulk. Energies are from GGA-PBEsol.

Unit cell a=3.6213 b=4.7189 c=5.3872 alpha=90.00 beta=98.11 gamma=90.00
Atoms (fractional coordinates):
1 Hg 0.4161 0.5000 0.7952
2 Y 0.7963 0.5000 0.3455
3 Y 0.9584 0.0000 0.9001
4 Cu 0.3292 0.0000 0.4592

Values from the calculation:
calculated total energy	-0.3682	Ry/atom
formation enthalpy at 0 K	-144	kJ/mol of formula units

---

> calculated total energy of number 8 (NaLaFePd2)?

-0.3853 Ry/atom

---

> What is the calculated total energy in the eighth record?

-0.3853 Ry/atom

---

> The highest calculated total energy belongs to which entry?

SbPb3